In4Hg5I2 PBE-GGA optimized geometry; energy relative to the elements, uncorrected = -0.096 eV per atom; raw total energy = -16.6 eV/f.u.; DOS at the Fermi energy = 0.263 states/eV per atom
1.0
4.1897 0.0000 0.0000
-0.0060 7.0769 0.0000
-2.0889 -2.1357 12.6854
In Hg I
4 5 2
Direct
0.0053 0.2947 0.0086 In
0.3147 0.2522 0.6298 In
0.6853 0.7478 0.3702 In
0.9947 0.7053 0.9914 In
0.1095 0.9364 0.2188 Hg
0.1223 0.4220 0.2439 Hg
0.5000 0.0000 0.0000 Hg
0.8777 0.5780 0.7561 Hg
0.8905 0.0636 0.7812 Hg
0.2811 0.7711 0.5645 I
0.7189 0.2289 0.4355 I



InHg2I PBE-GGA optimized geometry; energy relative to the elements, uncorrected = -0.081 eV per atom; relative energy among the computed polymorphs = 0.58 eV per formula unit; raw total energy = -5.2 eV/f.u.; DOS at the Fermi energy = 0.259 states/eV per atom
1.0
3.9927 0.0000 0.0000
0.0000 3.9927 0.0000
0.0000 0.0000 7.8075
In Hg I
1 2 1
Direct
0.0000 0.0000 0.0000 In
0.5000 0.5000 0.2364 Hg
0.5000 0.5000 0.7636 Hg
0.0000 0.0000 0.5000 I



InHgI2 PBE-GGA optimized geometry; energy relative to the elements, uncorrected = -0.347 eV per atom; relative energy among the computed polymorphs = 0.03 eV per formula unit; raw total energy = -7.5 eV/f.u.
1.0
7.3504 0.0000 0.0000
-2.3419 7.2301 0.0000
-3.2259 -2.5807 7.0077
In Hg I
2 2 4
Direct
0.0000 0.0000 0.0000 In
0.4121 0.5272 0.4965 In
0.4318 0.8032 0.7745 Hg
0.6979 0.6156 0.0648 Hg
0.1793 0.5078 0.1209 I
0.2161 0.1384 0.4775 I
0.4950 0.0976 0.0759 I
0.8424 0.6020 0.5746 I



Q: What is the formula in the second record?
A: InHg2I